No. 1
Be2PtAu2: optimized geometry, PBE.

a = 6.7352 Å, b = 6.7352 Å, c = 2.9692 Å
α = 90.00°, β = 90.00°, γ = 90.00°
Closest atoms and distances in Å follow each position.
Space group P4/mbm (No. 127)
Inequivalent atoms, fractional coordinates:
Be: 0.1398 0.3602 0.0000 (multiplicity 4)  6 Au 2.47, 2 Pt 2.60, 1 Be 2.66
Pt: 0.0000 0.0000 0.0000 (multiplicity 2)  4 Be 2.60
Au: 0.1529 0.6529 0.5000 (multiplicity 4)  6 Be 2.47

* N(E_F): 4.34 states/eV/cell
* energy relative to the elements: -0.19 eV per atom
* final energy: -0.3089 Ry/atom
* V: 13.5 A^3/atom

No. 2
Be2PtAu: optimized geometry, PBE.

a = 7.5664 Å, b = 2.8436 Å, c = 5.0055 Å
α = 90.00°, β = 102.73°, γ = 90.00°
Closest atoms and distances in Å follow each position.
Space group C2/m (No. 12)
Inequivalent atoms, fractional coordinates:
Be: 0.2447 0.0000 0.2053 (multiplicity 4)  3 Pt 2.38, 2 Be 2.52, 3 Au 2.58-2.61
Pt: 0.0000 0.5000 0.0000 (multiplicity 2)  6 Be 2.38
Au: 0.0000 0.0000 0.5000 (multiplicity 2)  6 Be 2.58-2.61, 2 Au 2.84, 4 Pt 2.88

* N(E_F): 2.60 states/eV/cell
* energy relative to the elements: -0.21 eV per atom
* final energy: -0.3237 Ry/atom
* V: 13.1 A^3/atom

No. 3
Be2PtAu: optimized geometry, PBE.

a = 3.6052 Å, b = 3.6052 Å, c = 14.5321 Å
α = 90.00°, β = 90.00°, γ = 120.00°
Closest atoms and distances in Å follow each position.
Space group R3m (No. 160, hexagonal axes)
Inequivalent atoms, fractional coordinates:
Be: 0.0000 0.0000 0.0000 (multiplicity 3)  3 Pt 2.24, 3 Au 2.46
Be: 0.0000 0.0000 0.1874 (multiplicity 3)  3 Pt 2.45, 3 Au 2.52, 1 Be 2.72
Pt: 0.0000 0.0000 0.6099 (multiplicity 3)  6 Be 2.24-2.45
Au: 0.0000 0.0000 0.4230 (multiplicity 3)  6 Be 2.46-2.52, 1 Pt 2.72

* N(E_F): 2.94 states/eV/cell
* energy relative to the elements: -0.26 eV per atom
* final energy: -0.3274 Ry/atom
* V: 13.6 A^3/atom

The calculation returns the following M_tot values, one per record and in order: 0.00; 0.00; 0.00 μB/atom.